1.
The following is a DFT calculation (SCAN) of a crystal of KCaMo2 relaxed with PBEsol.

Lattice parameters (Å, degrees): 3.792 3.792 6.152 107.95 107.95 90.00
Positions (direct):
Ca: 0.500 0.500 0.000
K: 0.000 0.000 0.000
Mo: 0.750 0.250 0.500
Mo: 0.250 0.750 0.500

## Properties
Density of states at the Fermi level in states/eV/cell: 2.7
ΔE to the lowest computed polymorph in eV per formula unit: 0.033

2.
The following is a DFT calculation (SCAN) of a crystal of K2CaSnMo relaxed with PBEsol.

Lattice parameters (Å, degrees): 5.291 6.437 6.437 90.00 90.00 90.00
Last column: magnetic moment on the atom in μB.
Positions (direct):
K: 0.000 0.000 0.500  0.00
K: 0.000 0.500 0.000  0.00
Mo: 0.500 0.000 0.000  3.36
Ca: 0.500 0.500 0.500  0.03
Sn: 0.000 0.000 0.000  -0.19

## Properties
Density of states at the Fermi level in states/eV/cell: 2.6
Calculated total energy in eV/atom: -18.664

3.
The following is a DFT calculation (SCAN) of a crystal of KCaN2O relaxed with PBEsol.

Lattice parameters (Å, degrees): 4.514 4.654 4.654 90.00 90.00 90.00
Last column: magnetic moment on the atom in μB.
Positions (direct):
Ca: 0.500 0.500 0.500  -0.04
K: 0.000 0.000 0.000  0.14
O: 0.500 0.000 0.000  0.71
N: 0.000 0.000 0.500  1.44
N: 0.000 0.500 0.000  1.44

## Properties
Density of states at the Fermi level in states/eV/cell: 2.3
ΔE_f (raw) in eV/atom: 1.05

4.
The following is a DFT calculation (SCAN) of a crystal of KNaCa2 relaxed with PBEsol.

Lattice parameters (Å, degrees): 5.183 5.183 14.384 100.38 100.38 90.00
Positions (direct):
Na: 0.750 0.250 0.500
Na: 0.500 0.500 0.000
Ca: 0.382 0.875 0.250
Ca: 0.868 0.375 0.250
Ca: 0.125 0.132 0.750
Ca: 0.625 0.618 0.750
K: 0.250 0.750 0.500
K: 0.000 0.000 0.000

## Properties
Density of states at the Fermi level in states/eV/cell: 6.5
Calculated total energy in eV/atom: -7.699

5.
The following is a DFT calculation (SCAN) of a crystal of K2NaCaP relaxed with PBEsol.

Lattice parameters (Å, degrees): 5.169 6.975 6.975 90.00 90.00 90.00
Positions (direct):
P: 0.500 0.000 0.000
Ca: 0.000 0.000 0.000
K: 0.000 0.000 0.500
K: 0.000 0.500 0.000
Na: 0.500 0.500 0.500

## Properties
Density of states at the Fermi level in states/eV/cell: 1.5
Calculated total energy in eV/atom: -8.093

6.
The following is a DFT calculation (SCAN) of a crystal of KNaCaPt2 relaxed with PBEsol.

Lattice parameters (Å, degrees): 4.553 5.342 5.342 90.00 90.00 90.00
Positions (direct):
Na: 0.500 0.000 0.000
Ca: 0.500 0.500 0.500
K: 0.000 0.000 0.000
Pt: 0.000 0.000 0.500
Pt: 0.000 0.500 0.000

## Properties
Density of states at the Fermi level in states/eV/cell: 2.9
Calculated total energy in eV/atom: -31.944